1.
TiBiO2F: relaxed, PBE-GGA.

Lattice parameters (Å, degrees): 3.9824 3.9824 4.1920 90.00 90.00 90.00
Last column: nearest neighbours and their distance in Å.
Space group P4/mmm (No. 123)
Asymmetric unit:
Ti: 0.0000 0.0000 0.0000 (multiplicity 1)  4 O 1.99, 2 F 2.10
Bi: 0.5000 0.5000 0.5000 (multiplicity 1)  4 F 2.82, 8 O 2.89
O: 0.0000 0.5000 0.0000 (multiplicity 2)  2 Ti 1.99
F: 0.0000 0.0000 0.5000 (multiplicity 1)  2 Ti 2.10

Its density of states at the Fermi level is 0.6740 states/eV/atom. The value obtained for the total moment is 0.00 μB per atom. Its calculated total energy is -33.2 eV per cell.


2.
Zr2BeHgMo: relaxed, PBE-GGA.

Lattice parameters (Å, degrees): 4.7438 4.7438 4.2412 90.00 90.00 90.00
Last column: nearest neighbours and their distance in Å.
Space group P4/mmm (No. 123)
Asymmetric unit:
Zr: 0.0000 0.5000 0.0000 (multiplicity 2)  2 Be 2.37
Be: 0.0000 0.0000 0.0000 (multiplicity 1)  2 Hg 2.12, 4 Zr 2.37
Hg: 0.0000 0.0000 0.5000 (multiplicity 1)  2 Be 2.12
Mo: 0.5000 0.5000 0.5000 (multiplicity 1)  8 Zr 3.18, 4 Hg 3.35

Its density of states at the Fermi level is 0.5729 states/eV/atom. The value obtained for the total moment is 0.00 μB per atom. The energy of formation from the pure elements is 550 meV/atom. Its calculated total energy is -29.2 eV per cell.


3.
Nd6OsPt2: relaxed, PBE-GGA.

Lattice parameters (Å, degrees): 6.8634 7.5192 12.1140 90.00 120.53 90.00
Last column: nearest neighbours and their distance in Å.
Space group P2_1/c (No. 14)
Asymmetric unit:
Nd: 0.0889 0.0480 0.2498 (multiplicity 4)  1 Os 2.79, 2 Pt 2.95-2.99
Nd: 0.2507 0.6798 0.0760 (multiplicity 4)  1 Os 2.83, 2 Pt 2.99-3.06
Nd: 0.3974 0.1810 0.0678 (multiplicity 4)  1 Os 2.77, 1 Pt 2.95
Os: 0.0000 0.0000 0.0000 (multiplicity 2)  6 Nd 2.77-2.83
Pt: 0.3229 0.1143 0.7676 (multiplicity 4)  6 Nd 2.95-3.12

Its density of states at the Fermi level is 0.9374 states/eV/atom. The value obtained for the total moment is 0.00 μB per atom. The energy of formation from the pure elements is -538 meV/atom. Its calculated total energy is -113.5 eV per cell.